V2Sb2S7 after structural relaxation. Source: the Alexandria database, functional GGA-PBE.

The structure in extended XYZ format:
```
11
Lattice="3.4302 0.0000 0.0000 1.7151 8.6558 -1.6574 1.7151 2.6448 8.4068" Properties=species:S:1:pos:R:3 pbc="T T T"
V 1.7151 7.1465 0.8696
V 3.4302 5.6138 3.4359
S 3.4302 8.0668 -0.6712
S 3.4302 5.3422 1.1484
S 1.7151 3.9501 3.5492
S 5.1453 6.3028 4.9544
S 3.4302 7.7566 2.5904
S 3.4302 1.0688 3.1153
S 3.4302 8.0509 7.2855
Sb 1.7151 2.1427 1.6416
Sb 5.1453 8.8393 5.6413
```

Computed properties:
DOS at the Fermi energy (states/eV per atom): 0.346
Formation energy from raw total energies (eV/atom): -0.44


VSbS after structural relaxation. Source: the Alexandria database, functional GGA-PBE.

The structure in extended XYZ format:
```
3
Lattice="-0.0473 3.1140 0.9093 -2.5924 -1.8808 0.5180 2.5758 -1.8080 6.3261" Properties=species:S:1:pos:R:3 pbc="T T T"
V 0.0594 0.7787 3.1245
S -0.2975 -1.2312 4.2012
Sb 0.1741 -0.1222 0.4277
```

Computed properties:
DOS at the Fermi energy (states/eV per atom): 0.690
Energy above the lowest structure with this stoichiometry (meV per atom): 0
Formation energy from raw total energies (eV/atom): -0.46


SbWS2 after structural relaxation. Source: the Alexandria database, functional GGA-PBE.

The structure in extended XYZ format:
```
4
Lattice="2.5823 5.6185 6.6668 4.3517 6.8027 4.1795 1.2451 7.7567 4.5788" Properties=species:S:1:pos:R:3 pbc="T T T"
W 4.0896 10.0890 7.7125
Sb 0.0000 0.0000 0.0000
S 0.8885 2.1919 1.6756
S 7.2907 17.9861 13.7495
```

Computed properties:
DOS at the Fermi energy (states/eV per atom): 0.549
Formation energy from raw total energies (eV/atom): -0.25


SbWS2 after structural relaxation. Source: the Alexandria database, functional GGA-PBE.

The structure in extended XYZ format:
```
8
Lattice="-1.1975 4.4794 4.1828 -6.0778 -0.3201 -1.3972 -4.2733 -1.4208 4.9595" Properties=species:S:1:pos:R:3 pbc="T T T"
S -10.0337 2.5494 6.0505
S -2.6677 2.7456 3.9980
S -5.4704 0.5185 4.8706
S -4.9255 -0.3365 0.5709
Sb -6.9944 0.1694 2.4775
Sb -3.6377 2.0797 1.3928
W -4.5542 2.5692 5.2675
W 0.0000 0.0000 0.0000
```

Computed properties:
DOS at the Fermi energy (states/eV per atom): 0.891
Formation energy from raw total energies (eV/atom): 0.33


SbWS3 after structural relaxation. Source: the Alexandria database, functional GGA-PBE.

The structure in extended XYZ format:
```
5
Lattice="-1.6329 -4.2394 -1.2219 3.1896 -2.0345 2.7963 -3.0483 0.1422 3.5805" Properties=species:S:1:pos:R:3 pbc="T T T"
W 0.0000 0.0000 0.0000
S -0.8165 -2.1197 -0.6110
S 1.5948 -1.0173 1.3982
S -1.5242 0.0711 1.7902
Sb -0.7458 -3.0659 2.5775
```

Computed properties:
DOS at the Fermi energy (states/eV per atom): 0.788
Energy above the lowest structure with this stoichiometry (meV per atom): 0
Formation energy from raw total energies (eV/atom): 0.19


SbWS3 after structural relaxation. Source: the Alexandria database, functional GGA-PBE.

The structure in extended XYZ format:
```
5
Lattice="4.9309 0.0000 0.0000 0.0000 4.9309 0.0000 0.0000 0.0000 4.9309" Properties=species:S:1:pos:R:3 pbc="T T T"
S 0.0000 0.0000 2.4655
S 0.0000 2.4655 0.0000
S 2.4655 0.0000 0.0000
Sb 0.0000 0.0000 0.0000
W 2.4655 2.4655 2.4655
```

Computed properties:
DOS at the Fermi energy (states/eV per atom): 0.958
Energy above the lowest structure with this stoichiometry (meV per atom): 1201
Formation energy from raw total energies (eV/atom): 1.39